[1]
The following is a PBE calculation of a relaxed structure of Ba3Na2Hg2Au4, from the Alexandria database.

Structure (CIF):
```
data_Ba3Na2Hg2Au4
_cell_length_a 5.0060
_cell_length_b 5.0060
_cell_length_c 16.1152
_cell_angle_alpha 90.00
_cell_angle_beta 90.00
_cell_angle_gamma 120.00
_symmetry_space_group_name_H-M 'P -3 m 1'
_symmetry_Int_Tables_number 164
_symmetry_space_group_name_Hall '-P 3 2"'
loop_
_atom_site_label
_atom_site_fract_x
_atom_site_fract_y
_atom_site_fract_z
Ba1 0.0000 0.0000 0.0000
Ba2 0.0000 0.0000 0.2648
Na1 0.3333 0.6667 0.5594
Hg1 0.3333 0.6667 0.1346
Au1 0.3333 0.6667 0.3700
Au2 0.3333 0.6667 0.8695
```

[2]
The following is a PBE calculation of a relaxed structure of BaNaHg2Au2, from the Alexandria database.

Structure (CIF):
```
data_BaNaHg2Au2
_cell_length_a 4.9991
_cell_length_b 4.9991
_cell_length_c 7.4408
_cell_angle_alpha 90.00
_cell_angle_beta 90.00
_cell_angle_gamma 120.00
_symmetry_space_group_name_H-M 'P -3 m 1'
_symmetry_Int_Tables_number 164
_symmetry_space_group_name_Hall '-P 3 2"'
loop_
_atom_site_label
_atom_site_fract_x
_atom_site_fract_y
_atom_site_fract_z
Ba1 0.0000 0.0000 0.0000
Na1 0.0000 0.0000 0.5000
Hg1 0.3333 0.6667 0.3083
Au1 0.3333 0.6667 0.7234
```

[3]
The following is a PBE calculation of a relaxed structure of BaNdHgAu, from the Alexandria database.

Structure (CIF):
```
data_BaNdHgAu
_cell_length_a 7.874
_cell_length_b 7.874
_cell_length_c 7.874
_cell_angle_alpha 90.00
_cell_angle_beta 90.00
_cell_angle_gamma 90.00
_symmetry_space_group_name_H-M 'F -4 3 m'
_symmetry_Int_Tables_number 216
_symmetry_space_group_name_Hall 'F -4 2 3'
loop_
_atom_site_label
_atom_site_fract_x
_atom_site_fract_y
_atom_site_fract_z
Ba1 0.000 0.000 0.000
Nd1 0.000 0.000 0.500
Hg1 0.250 0.250 0.750
Au1 0.250 0.250 0.250
```

[4]
The following is a PBE calculation of a relaxed structure of BaNiHgAu2, from the Alexandria database.

Structure (CIF):
```
data_BaNiHgAu2
_cell_length_a 5.082
_cell_length_b 5.082
_cell_length_c 4.983
_cell_angle_alpha 90.00
_cell_angle_beta 90.00
_cell_angle_gamma 90.00
_symmetry_space_group_name_H-M 'P 4/m m m'
_symmetry_Int_Tables_number 123
_symmetry_space_group_name_Hall '-P 4 2'
loop_
_atom_site_label
_atom_site_fract_x
_atom_site_fract_y
_atom_site_fract_z
Ba1 0.000 0.000 0.000
Ni1 0.500 0.500 0.500
Hg1 0.500 0.500 0.000
Au1 0.000 0.500 0.500
```

no.,formation energy from the elements (eV per atom)
1,-0.52
2,-0.47
3,-0.48
4,-0.29